Below is a geometry-optimized ZnAs2Pt structure, with properties calculated at the PBE-GGA level.

Computed properties:
DFT formation energy   -0.10 eV/atom
VASP energy   -0.156 Ha/atom
SG   Cm, No. 8
Total magnetization   0.00 μB per cell

Lattice parameters (Å, degrees): 4.230 4.230 6.631 96.04 96.04 41.28
Element x y z (fractional)
Zn 0.000 0.000 0.000
As 0.299 0.299 0.185
As 0.366 0.366 0.581
Pt 0.667 0.667 0.748